(1)
# PBE-GGA Er2PbSe4, optimized geometry
data_Er2PbSe4
_cell_length_a 12.6085
_cell_length_b 4.1107
_cell_length_c 15.0228
_cell_angle_alpha 90.00
_cell_angle_beta 90.00
_cell_angle_gamma 90.00
_space_group_name_H-M_alt 'P n m a'
_space_group_IT_number 62
loop_
_space_group_symop_operation_xyz
'x,y,z'
'-x,-y,-z'
'-x+1/2,-y,z+1/2'
'x+1/2,y,-z+1/2'
'x+1/2,-y+1/2,-z+1/2'
'-x+1/2,y+1/2,z+1/2'
'-x,y+1/2,-z'
'x,-y+1/2,z'
loop_
_atom_site_label
_atom_site_type_symbol
_atom_site_fract_x
_atom_site_fract_y
_atom_site_fract_z
Er1 Er 0.0576 0.2500 0.1070
Er2 Er 0.0823 0.2500 0.5979
Pb1 Pb 0.2166 0.2500 0.3304
Se1 Se 0.0186 0.7500 0.7130
Se2 Se 0.0910 0.2500 0.9225
Se3 Se 0.1286 0.7500 0.4717
Se4 Se 0.2061 0.7500 0.1692
# * ΔE to the lowest computed polymorph: 0.0 meV per atom


(2)
# PBE-GGA Y4AlRu, optimized geometry
data_Y4AlRu
_cell_length_a 8.4970
_cell_length_b 8.4970
_cell_length_c 8.4970
_cell_angle_alpha 90.00
_cell_angle_beta 90.00
_cell_angle_gamma 90.00
_space_group_name_H-M_alt 'F -4 3 m'
_space_group_IT_number 216
_space_group_name_Hall 'F -4 2 3'
loop_
_atom_site_label
_atom_site_type_symbol
_atom_site_fract_x
_atom_site_fract_y
_atom_site_fract_z
Y1 Y 0.1241 0.1241 0.3759
Al1 Al 0.0000 0.0000 0.0000
Ru1 Ru 0.2500 0.2500 0.7500
# * ΔE to the lowest computed polymorph: 977.7 meV per atom
# * calculated formation energy: 0.68 eV/atom


(3)
# PBE-GGA TiCrGaMo, optimized geometry
data_TiCrGaMo
_cell_length_a 6.1355
_cell_length_b 6.1355
_cell_length_c 6.1355
_cell_angle_alpha 90.00
_cell_angle_beta 90.00
_cell_angle_gamma 90.00
_space_group_name_H-M_alt 'F -4 3 m'
_space_group_IT_number 216
_space_group_name_Hall 'F -4 2 3'
loop_
_atom_site_label
_atom_site_type_symbol
_atom_site_fract_x
_atom_site_fract_y
_atom_site_fract_z
Ti1 Ti 0.0000 0.0000 0.0000
Cr1 Cr 0.0000 0.0000 0.5000
Ga1 Ga 0.2500 0.2500 0.7500
Mo1 Mo 0.2500 0.2500 0.2500
# * calculated formation energy: -0.11 eV/atom


Number 1: E -37.2 eV/f.u.. Number 2: E -34.8 eV/f.u.. Number 3: E -31.8 eV/f.u..